Below is a relaxed LiMgIn crystal, with properties calculated at the GGA-PBEsol level.

abc: 3.106 3.106 6.796
angles: 103.21 103.21 90.00
Fractional positions:
Mg: 0.332 0.332 0.663
In: 0.008 0.008 0.015
Li: 0.661 0.661 0.321

Values from the calculation:
The energy above the lowest structure with this stoichiometry is 43 meV per atom. Its space-group type is No. 107. The volume is 20.7 A^3/atom. The value obtained for the total energy is -2.383 eV/atom.